Material: ZnIn2S4
Method: DFT, PBEsol
State: relaxed

**Space group**: Fd-3m (227)
**DFT total energy**: -59.184 eV per cell

a = 7.4782 Å, b = 7.4782 Å, c = 7.4782 Å
α = 60.00°, β = 60.00°, γ = 60.00°
Positions (direct):
Zn 0.1250 0.1250 0.1250
Zn 0.8750 0.8750 0.8750
In 0.0000 0.5000 0.5000
In 0.5000 0.0000 0.5000
In 0.5000 0.5000 0.0000
In 0.5000 0.5000 0.5000
S 0.2538 0.2538 0.2538
S 0.2538 0.2538 0.7385
S 0.2538 0.7385 0.2538
S 0.2615 0.7462 0.7462
S 0.7385 0.2538 0.2538
S 0.7462 0.2615 0.7462
S 0.7462 0.7462 0.2615
S 0.7462 0.7462 0.7462



Material: ZnIn2S4
Method: DFT, PBEsol
State: relaxed

**Space group**: R3m (160)
**DFT total energy**: -29.154 eV per cell

a = 12.3407 Å, b = 12.3407 Å, c = 12.3407 Å
α = 18.01°, β = 18.01°, γ = 18.01°
Positions (direct):
Zn 0.0000 0.0000 0.0000
In 0.2295 0.2295 0.2295
In 0.4543 0.4543 0.4543
S 0.0914 0.0914 0.0914
S 0.3483 0.3483 0.3483
S 0.5214 0.5214 0.5214
S 0.9308 0.9308 0.9308